DFT (GGA-PBEsol) results for crystalline SiTc3 at its relaxed geometry.

## Properties
- Size of the total moment: 0.0 Bohr magnetons per cell
- Energy: -10.17 eV/atom
- Energy relative to the lowest polymorph listed for this composition: 0.020 eV/atom

Geometry as POSCAR:
```
SiTc3
1.0
2.894 0.000 0.000
0.000 2.894 0.000
0.000 0.000 6.355
Si Tc
1 3
direct
0.000 0.000 0.000
0.000 0.000 0.500
0.500 0.500 0.232
0.500 0.500 0.768
```